--- A ---
Here is a geometry-optimized Y2Cd3Hg4 structure from the Alexandria database. Energies are from PBE.

Results
As for the space group: No. 64.

```
Y2Cd3Hg4
1.0
-3.420 -3.295 4.001
5.796 -6.025 -0.007
5.667 5.446 4.509
Hg Cd Y
8 6 4
direct
0.191 0.750 0.881
0.669 0.539 0.339
0.331 0.461 0.661
0.831 0.039 0.661
0.309 0.250 0.119
0.691 0.750 0.881
0.169 0.961 0.339
0.809 0.250 0.119
0.980 0.250 0.460
0.000 0.000 0.000
0.480 0.250 0.460
0.020 0.750 0.540
0.500 0.500 0.000
0.520 0.750 0.540
0.399 0.094 0.798
0.899 0.406 0.798
0.101 0.594 0.202
0.601 0.906 0.202
```

***

--- B ---
Here is a geometry-optimized Y2Cd3Hg4 structure from the Alexandria database. Energies are from PBE.

Results
As for the space group: No. 12.

```
Y2Cd3Hg4
1.0
-3.689 3.190 -1.324
-3.013 1.996 3.558
6.020 7.401 1.069
Cd Hg Y
3 4 2
direct
0.666 0.669 0.563
0.000 0.000 0.000
0.334 0.331 0.437
0.002 0.996 0.338
0.666 0.668 0.892
0.334 0.332 0.108
0.998 0.004 0.662
0.332 0.336 0.785
0.668 0.664 0.215
```

***

Most stable: B. Least stable: A.

***

--- A ---
Here is a geometry-optimized YCd6Hg12 structure from the Alexandria database. Energies are from PBE.

Results
As for the space group: No. 148.

```
YCd6Hg12
1.0
-4.058 -3.312 5.892
-2.796 -5.134 -5.290
6.378 -4.406 1.438
Hg Cd Y
12 6 1
direct
0.533 0.799 0.454
0.036 0.373 0.146
0.467 0.201 0.546
0.373 0.146 0.036
0.854 0.964 0.627
0.546 0.467 0.201
0.627 0.854 0.964
0.201 0.546 0.467
0.964 0.627 0.854
0.146 0.036 0.373
0.454 0.533 0.799
0.799 0.454 0.533
0.730 0.132 0.278
0.270 0.868 0.722
0.132 0.278 0.730
0.278 0.730 0.132
0.722 0.270 0.868
0.868 0.722 0.270
0.000 0.000 0.000
```

***

--- B ---
Here is a geometry-optimized YCd6Hg12 structure from the Alexandria database. Energies are from PBE.

Results
As for the space group: No. 148.

```
YCd6Hg12
1.0
-5.160 2.155 6.253
-0.260 -8.365 -0.574
7.760 2.012 2.469
Cd Hg Y
6 12 1
direct
0.265 0.433 0.159
0.433 0.159 0.265
0.159 0.265 0.433
0.567 0.841 0.735
0.841 0.735 0.567
0.735 0.567 0.841
0.846 0.299 0.998
0.701 0.002 0.154
0.478 0.163 0.636
0.154 0.701 0.002
0.299 0.998 0.846
0.837 0.364 0.522
0.002 0.154 0.701
0.522 0.837 0.364
0.998 0.846 0.299
0.163 0.636 0.478
0.636 0.478 0.163
0.364 0.522 0.837
0.000 0.000 0.000
```

***

Most stable: B. Least stable: A.